Entry i
Below is a geometry-optimized Rb2CaNd2W4O16 structure, with properties calculated at the GGA+U level.

## Properties
Magnetization, μB per formula unit: 2.000
Symmetry: C2
Density of states at the Fermi level, states/eV per atom: 0.00

a = 8.090 Å, b = 8.090 Å, c = 7.662 Å
α = 61.79°, β = 61.79°, γ = 88.62°
Site moments in Bohr magnetons follow the coordinates.
Fractional positions:
Rb (0.073, 0.927, 0.500)  0.00
Rb (0.802, 0.198, 0.000)  0.00
Ca (0.331, 0.669, 0.500)  0.00
Nd (0.780, 0.220, 0.500)  0.00
Nd (0.234, 0.766, 0.000)  0.01
W (0.709, 0.679, 0.557)  0.94
W (0.707, 0.675, 0.053)  0.03
W (0.325, 0.293, 0.947)  0.03
W (0.321, 0.291, 0.443)  0.94
O (0.405, 0.608, 0.210)  0.01
O (0.068, 0.286, 0.506)  -0.03
O (0.318, 0.026, 0.630)  0.02
O (0.067, 0.274, 0.143)  0.00
O (0.651, 0.731, 0.303)  0.01
O (0.269, 0.349, 0.697)  0.01
O (0.974, 0.682, 0.370)  0.02
O (0.618, 0.381, 0.301)  0.00
O (0.320, 0.038, 0.016)  0.01
O (0.962, 0.680, 0.984)  0.01
O (0.619, 0.382, 0.699)  0.00
O (0.726, 0.933, 0.857)  0.00
O (0.389, 0.256, 0.170)  0.00
O (0.744, 0.611, 0.830)  0.00
O (0.714, 0.932, 0.494)  -0.03
O (0.392, 0.595, 0.790)  0.01

***

Entry ii
Below is a geometry-optimized Rb2CaNd2W4O16 structure, with properties calculated at the GGA+U level.

## Properties
Magnetization, μB per formula unit: 2.000
Symmetry: P1
Density of states at the Fermi level, states/eV per atom: 0.00

a = 6.751 Å, b = 7.758 Å, c = 8.350 Å
α = 77.14°, β = 70.27°, γ = 73.45°
Site moments in Bohr magnetons follow the coordinates.
Fractional positions:
Rb (0.807, 0.846, 0.852)  0.00
Rb (0.206, 0.171, 0.115)  0.00
Ca (0.088, 0.347, 0.498)  0.00
Nd (0.260, 0.669, 0.142)  0.01
Nd (0.728, 0.346, 0.882)  0.01
W (0.682, 0.509, 0.319)  0.06
W (0.680, 0.008, 0.317)  0.93
W (0.319, 0.508, 0.688)  0.95
W (0.333, 0.998, 0.692)  0.06
O (0.633, 0.918, 0.581)  0.00
O (0.341, 0.898, 0.917)  0.01
O (0.029, 0.128, 0.730)  0.00
O (0.361, 0.492, 0.916)  0.02
O (0.744, 0.249, 0.333)  -0.01
O (0.380, 0.229, 0.719)  0.01
O (0.644, 0.533, 0.095)  0.01
O (0.360, 0.102, 0.429)  -0.01
O (0.027, 0.501, 0.738)  -0.02
O (0.650, 0.118, 0.087)  0.03
O (0.355, 0.523, 0.417)  0.01
O (0.975, 0.897, 0.259)  -0.03
O (0.266, 0.779, 0.665)  0.01
O (0.617, 0.768, 0.297)  -0.01
O (0.984, 0.500, 0.261)  0.00
O (0.649, 0.475, 0.578)  -0.01

***

Computed energies relative to the best structure, in kJ/mol of atoms: entry i 1.7; entry ii 0.0